VASP calculation (PBE) on a geometry-optimized Pr2Ge3PRh4 structure.

Summary:
The value obtained for the calculated formation energy is -918 meV/atom. The space group is P-4m2 (115). As for the total magnetic moment: 0.0 μB per formula unit.

Cell: 4.288 4.288 9.940 Å, 90.00 90.00 90.00°
Positions (direct):
Pr 0.000 0.500 0.238
Pr 0.500 0.000 0.762
Ge 0.000 0.000 0.000
Ge 0.000 0.500 0.632
Ge 0.500 0.000 0.368
P 0.500 0.500 0.000
Rh 0.000 0.000 0.500
Rh 0.000 0.500 0.884
Rh 0.500 0.000 0.116
Rh 0.500 0.500 0.500